RbLiTePd: relaxed, PBE.

Summary:
- Excess energy over the best structure of this formula in the dataset: 122 meV/atom
- SG: No. 216

Geometry as POSCAR:
```
RbLiTePd
1.0
0.000 3.665 3.665
3.665 0.000 3.665
3.665 3.665 0.000
Rb Li Te Pd
1 1 1 1
Direct
0.000 0.000 0.000
0.750 0.750 0.750
0.250 0.250 0.250
0.500 0.500 0.500
```

RbLiPdW: relaxed, PBE.

Summary:
- Excess energy over the best structure of this formula in the dataset: 0 meV/atom
- SG: No. 216

Geometry as POSCAR:
```
RbLiPdW
1.0
0.000 3.348 3.348
3.348 0.000 3.348
3.348 3.348 0.000
Rb Li Pd W
1 1 1 1
Direct
0.000 0.000 0.000
0.750 0.750 0.750
0.500 0.500 0.500
0.250 0.250 0.250
```

RbLiPdW: relaxed, PBE.

Summary:
- Excess energy over the best structure of this formula in the dataset: 61 meV/atom
- SG: No. 216

Geometry as POSCAR:
```
RbLiPdW
1.0
0.000 3.544 3.544
3.544 0.000 3.544
3.544 3.544 0.000
Rb Li Pd W
1 1 1 1
Direct
0.000 0.000 0.000
0.750 0.750 0.750
0.250 0.250 0.250
0.500 0.500 0.500
```

RbLiPdW: relaxed, PBE.

Summary:
- Excess energy over the best structure of this formula in the dataset: 338 meV/atom
- SG: No. 216

Geometry as POSCAR:
```
RbLiPdW
1.0
0.000 3.577 3.577
3.577 0.000 3.577
3.577 3.577 0.000
Rb Li Pd W
1 1 1 1
Direct
0.000 0.000 0.000
0.500 0.500 0.500
0.750 0.750 0.750
0.250 0.250 0.250
```

LiRe2Pd: relaxed, PBE.

Summary:
- Final energy: -31.23 eV for the cell shown
- SG: No. 216

Geometry as POSCAR:
```
LiRe2Pd
1.0
0.000 3.044 3.044
3.044 0.000 3.044
3.044 3.044 0.000
Li Re Pd
1 2 1
Direct
0.000 0.000 0.000
0.500 0.500 0.500
0.750 0.750 0.750
0.250 0.250 0.250
```

LiRePd: relaxed, PBE.

Summary:
- Excess energy over the best structure of this formula in the dataset: 0 meV/atom
- SG: No. 216

Geometry as POSCAR:
```
LiRePd
1.0
0.000 2.913 2.913
2.913 0.000 2.913
2.913 2.913 0.000
Li Re Pd
1 1 1
Direct
0.000 0.000 0.000
0.250 0.250 0.250
0.500 0.500 0.500
```

LiPd3S5: relaxed, PBE.

Summary:
- Final energy: -39.33 eV for the cell shown
- SG: No. 191

Geometry as POSCAR:
```
LiPd3S5
1.0
5.995 0.000 0.000
-2.997 5.191 0.000
0.000 0.000 6.284
Li Pd S
1 3 5
Direct
0.000 0.000 0.000
0.000 0.500 0.500
0.500 0.000 0.500
0.500 0.500 0.500
0.000 0.000 0.500
0.333 0.667 0.245
0.333 0.667 0.755
0.667 0.333 0.245
0.667 0.333 0.755
```

LiPd3Se2S4: relaxed, PBE.

Summary:
- Final energy: -44.15 eV for the cell shown
- SG: No. 164

Geometry as POSCAR:
```
LiPd3Se2S4
1.0
3.605 0.000 0.000
-1.802 3.122 0.000
0.000 0.000 19.217
Li Pd Se S
1 3 2 4
Direct
0.000 0.000 0.000
0.000 0.000 0.150
0.000 0.000 0.500
0.000 0.000 0.850
0.333 0.667 0.427
0.667 0.333 0.573
0.333 0.667 0.081
0.333 0.667 0.786
0.667 0.333 0.214
0.667 0.333 0.919
```

What did the second record say?
RbLiPdW: relaxed, PBE.

Summary:
- Excess energy over the best structure of this formula in the dataset: 0 meV/atom
- SG: No. 216

Geometry as POSCAR:
```
RbLiPdW
1.0
0.000 3.348 3.348
3.348 0.000 3.348
3.348 3.348 0.000
Rb Li Pd W
1 1 1 1
Direct
0.000 0.000 0.000
0.750 0.750 0.750
0.500 0.500 0.500
0.250 0.250 0.250
```